1.
4
Lattice="-3.513 -0.206 3.685 -0.153 -3.999 3.154 1.385 0.545 4.873" Properties=species:S:1:pos:R:3 comment="LaMgTlNi | Alexandria via LeMat-Bulk | GGA-PBE | optimized geometry" total_energy_ev_per_fu=-15.254 e_form_ev_per_atom=-0.15 m_tot_mub_per_cell=0.0 pbc="T T T"
Ni -0.570 -0.915 2.928
Tl -1.711 -2.745 8.784
Mg -1.141 -1.830 5.856
La 0.000 0.000 0.000

---

2.
5
Lattice="5.348 0.000 0.000 0.000 5.348 0.000 0.000 0.000 5.004" Properties=species:S:1:pos:R:3 comment="La2MgTlNi | Alexandria via LeMat-Bulk | GGA-PBE | optimized geometry" total_energy_ev_per_fu=-20.943 e_form_ev_per_atom=-0.27 m_tot_mub_per_cell=0.0 pbc="T T T"
Ni 0.000 0.000 0.000
Tl 2.674 2.674 2.502
Mg 0.000 0.000 2.502
La 0.000 2.674 0.000
La 2.674 0.000 0.000

---

3.
4
Lattice="-2.543 -4.470 0.759 -1.259 -2.996 -4.057 2.434 -4.533 -0.738" Properties=species:S:1:pos:R:3 comment="LaYMgNi | Alexandria via LeMat-Bulk | GGA-PBE | optimized geometry" total_energy_ev_per_fu=-19.038 e_form_ev_per_atom=-0.07 m_tot_mub_per_cell=0.0 pbc="T T T"
Y -0.342 -3.000 -1.009
Ni 0.000 0.000 0.000
Mg -0.684 -5.999 -2.018
La -1.026 -8.999 -3.027

---

4.
5
Lattice="-4.252 1.192 -2.508 -2.776 -1.931 3.789 -0.064 4.509 2.251" Properties=species:S:1:pos:R:3 comment="LaYMg2Ni | Alexandria via LeMat-Bulk | GGA-PBE | optimized geometry" total_energy_ev_per_fu=-20.800 e_form_ev_per_atom=-0.09 m_tot_mub_per_cell=0.0 pbc="T T T"
Y -0.032 2.254 1.125
Ni 0.000 0.000 0.000
Mg -1.388 -0.966 1.895
Mg -2.126 0.596 -1.254
La -3.546 1.885 1.766